[1]
A plane-wave DFT calculation with GGA-PBE was carried out for crystalline PrU2Si2Pt7 at its relaxed geometry.

```
PrU2Si2Pt7
1.0
2.922 -2.856 0.000
2.922 2.856 0.000
-2.054 0.000 13.731
Pr U Si Pt
1 2 2 7
Direct
0.000 0.000 0.000
0.120 0.120 0.360
0.880 0.880 0.640
0.403 0.403 0.741
0.597 0.597 0.259
0.065 0.563 0.169
0.359 0.359 0.569
0.437 0.935 0.831
0.500 0.500 0.000
0.563 0.065 0.169
0.641 0.641 0.431
0.935 0.437 0.831
```

Results
- Formation energy from raw total energies: -0.7668 eV/atom

[2]
A plane-wave DFT calculation with GGA-PBE was carried out for crystalline TlGa2CoPb at its relaxed geometry.

```
TlGa2CoPb
1.0
4.683 0.000 0.000
0.000 4.683 0.000
0.000 0.000 5.200
Tl Ga Co Pb
1 2 1 1
Direct
0.000 0.000 0.000
0.000 0.500 0.500
0.500 0.000 0.500
0.500 0.500 0.500
0.500 0.500 0.000
```

Results
- Energy of formation: 0.2 eV per formula unit

[3]
A plane-wave DFT calculation with GGA-PBE was carried out for crystalline CsTlHg2Bi at its relaxed geometry.

```
CsTlHg2Bi
1.0
6.197 0.000 0.000
0.000 6.197 0.000
0.000 0.000 5.959
Cs Tl Hg Bi
1 1 2 1
Direct
0.000 0.000 0.000
0.500 0.500 0.500
0.000 0.500 0.500
0.500 0.000 0.500
0.500 0.500 0.000
```

Results
- Energy of formation: -0.2 eV per formula unit
- Energy relative to the lowest polymorph listed for this composition: 173 meV/atom

[4]
A plane-wave DFT calculation with GGA-PBE was carried out for crystalline K4Sc3BiO8 at its relaxed geometry.

```
K4Sc3BiO8
1.0
3.352 1.935 6.188
-3.352 1.935 6.188
0.000 -3.871 6.188
K Sc Bi O
4 3 1 8
Direct
0.000 0.000 0.000
0.000 0.500 0.500
0.500 0.000 0.500
0.500 0.500 0.000
0.000 0.000 0.500
0.000 0.500 0.000
0.500 0.000 0.000
0.500 0.500 0.500
0.203 0.740 0.740
0.226 0.226 0.226
0.260 0.260 0.797
0.260 0.797 0.260
0.740 0.203 0.740
0.740 0.740 0.203
0.774 0.774 0.774
0.797 0.260 0.260
```

Results
- Formation energy from raw total energies: -2.3640 eV/atom

[5]
A plane-wave DFT calculation with GGA-PBE was carried out for crystalline Ac2Zn4Ga3Ge at its relaxed geometry.

```
Ac2Zn4Ga3Ge
1.0
4.473 0.000 0.000
0.000 4.473 0.000
0.000 0.000 10.582
Ac Zn Ga Ge
2 4 3 1
Direct
0.000 0.500 0.249
0.500 0.000 0.751
0.000 0.000 0.000
0.000 0.500 0.631
0.500 0.000 0.369
0.500 0.500 0.000
0.000 0.500 0.870
0.500 0.000 0.130
0.500 0.500 0.500
0.000 0.000 0.500
```

Results
- Energy of formation: -4.6 eV per formula unit

[6]
A plane-wave DFT calculation with GGA-PBE was carried out for crystalline LaTlFe4 at its relaxed geometry.

```
LaTlFe4
1.0
0.000 3.686 3.686
3.686 0.000 3.686
3.686 3.686 0.000
La Tl Fe
1 1 4
Direct
0.000 0.000 0.000
0.750 0.750 0.750
0.375 0.375 0.375
0.375 0.375 0.876
0.375 0.876 0.375
0.876 0.375 0.375
```

Results
- Energy of formation: 1.0 eV per formula unit

[7]
A plane-wave DFT calculation with GGA-PBE was carried out for crystalline DySN at its relaxed geometry.

```
DySN
1.0
4.066 0.000 0.000
1.629 4.962 0.000
0.295 0.943 5.531
Dy S N
2 2 2
Direct
0.174 0.246 0.228
0.826 0.754 0.772
0.167 0.165 0.722
0.833 0.835 0.278
0.383 0.550 0.924
0.617 0.450 0.076
```

Results
- Formation energy from raw total energies: -1.3677 eV/atom
- Energy relative to the lowest polymorph listed for this composition: 29 meV/atom

[8]
A plane-wave DFT calculation with GGA-PBE was carried out for crystalline SrLa3Rh at its relaxed geometry.

```
SrLa3Rh
1.0
8.122 0.000 0.000
-4.061 7.034 0.000
0.000 0.000 6.569
Sr La Rh
2 6 2
Direct
0.333 0.667 0.250
0.667 0.333 0.750
0.168 0.336 0.750
0.168 0.832 0.750
0.336 0.168 0.250
0.664 0.832 0.750
0.832 0.168 0.250
0.832 0.664 0.250
0.000 0.000 0.000
0.000 0.000 0.500
```

Results
- Energy of formation: -1.4 eV per formula unit
- Energy relative to the lowest polymorph listed for this composition: 0 meV/atom

Number 1: total magnetization 5.238 μB per cell, calculated volume 229 Å³ per cell. Number 2: total magnetization 0.000 μB per cell, calculated volume 114 Å³ per cell. Number 3: total magnetization 0.000 μB per cell, calculated volume 229 Å³ per cell. Number 4: total magnetization 0.000 μB per cell, calculated volume 241 Å³ per cell. Number 5: total magnetization 0.000 μB per cell, calculated volume 212 Å³ per cell. Number 6: total magnetization 8.727 μB per cell, calculated volume 100 Å³ per cell. Number 7: total magnetization 0.000 μB per cell, calculated volume 112 Å³ per cell. Number 8: total magnetization 1.482 μB per cell, calculated volume 375 Å³ per cell.